1.
{"formula": "PClF", "functional": "PBE", "state": "optimized geometry", "space_group": "P-1", "formation_energy_uncorrected_ev_per_atom": -1.232, "polymorph_energy_mev_per_atom": 19, "energy_ev_per_atom": -4.275, "lattice_angstrom": [[-5.041, 0.053, -0.504], [-2.964, -4.725, 3.739], [-2.105, 3.800, 3.991]], "species": ["P", "F", "Cl", "Cl", "P", "F"], "fractional_positions": [[0.125, 0.138, 0.670], [0.640, 0.732, 0.581], [0.266, 0.195, 0.314], [0.154, 0.714, 0.967], [0.294, 0.772, 0.611], [0.779, 0.179, 0.699]]}

2.
{"formula": "RbPuSeO", "functional": "PBE", "state": "optimized geometry", "space_group": "R3m", "formation_energy_uncorrected_ev_per_atom": -1.809, "energy_ev_per_atom": -7.744, "lattice_angstrom": [[-3.013, 2.027, 1.291], [-3.359, -1.763, 0.682], [0.003, -1.238, 7.705]], "species": ["Pu", "Rb", "Se", "O"], "fractional_positions": [[0.501, 0.501, 0.496], [0.979, 0.979, 0.064], [0.753, 0.753, 0.742], [0.208, 0.208, 0.376]]}

3.
{"formula": "Rb2Li2As", "functional": "PBE", "state": "optimized geometry", "space_group": "R-3m", "polymorph_energy_mev_per_atom": 0, "energy_ev_per_atom": -2.511, "lattice_angstrom": [[-1.957, 4.064, -0.302], [-3.630, 0.954, 2.521], [4.410, 5.263, 8.412]], "species": ["Li", "As", "Rb", "Rb", "Li"], "fractional_positions": [[0.676, 0.676, 0.971], [0.000, 0.000, 0.000], [0.572, 0.572, 0.285], [0.428, 0.428, 0.715], [0.324, 0.324, 0.029]]}

4.
{"formula": "La2TmSc2Hg5", "functional": "PBE", "state": "optimized geometry", "space_group": "P4/mbm", "energy_ev_per_atom": -3.222, "lattice_angstrom": [[3.911, 0.000, 0.000], [0.000, 11.565, 0.000], [0.000, 0.000, 11.565]], "species": ["Hg", "Sc", "Hg", "La", "Hg", "La", "Hg", "La", "Hg", "Sc", "Hg", "Hg", "Tm", "La", "Tm", "Sc", "Hg", "Hg", "Hg", "Sc"], "fractional_positions": [[0.500, 0.806, 0.935], [0.000, 0.126, 0.626], [0.500, 0.694, 0.435], [0.000, 0.177, 0.323], [0.500, 0.565, 0.694], [0.000, 0.677, 0.177], [0.500, 0.065, 0.806], [0.000, 0.323, 0.823], [0.500, 0.000, 0.500], [0.000, 0.626, 0.874], [0.500, 0.194, 0.065], [0.500, 0.935, 0.194], [0.000, 0.500, 0.500], [0.000, 0.823, 0.677], [0.000, 0.000, 0.000], [0.000, 0.374, 0.126], [0.500, 0.306, 0.565], [0.500, 0.435, 0.306], [0.500, 0.500, 0.000], [0.000, 0.874, 0.374]]}

5.
{"formula": "HfMnRu2", "functional": "PBE", "state": "optimized geometry", "space_group": "I-42d", "energy_ev_per_atom": -9.174, "lattice_angstrom": [[-3.954, 2.654, 5.072], [3.095, -4.194, 4.608], [1.415, 1.097, 5.300]], "species": ["Ru", "Ru", "Mn", "Ru", "Hf", "Ru", "Mn", "Hf"], "fractional_positions": [[0.572, 0.125, 0.250], [0.178, 0.625, 0.250], [0.250, 0.750, 0.500], [0.875, 0.822, 0.750], [0.000, 0.000, 0.000], [0.375, 0.428, 0.750], [0.500, 0.500, 0.000], [0.750, 0.250, 0.500]]}

6.
{"formula": "NdSm6Y2Er", "functional": "PBE", "state": "optimized geometry", "space_group": "C2/c", "energy_ev_per_atom": -4.938, "lattice_angstrom": [[-6.749, 6.640, 1.007], [-2.133, -1.538, -8.520], [-3.720, -5.364, 6.074]], "species": ["Er", "Sm", "Y", "Sm", "Er", "Y", "Sm", "Sm", "Sm", "Y", "Sm", "Nd", "Y", "Nd", "Sm", "Sm", "Sm", "Sm", "Sm", "Sm"], "fractional_positions": [[0.250, 0.411, 0.589], [0.685, 0.007, 0.558], [0.449, 0.795, 0.698], [0.942, 0.884, 0.239], [0.750, 0.589, 0.411], [0.051, 0.302, 0.205], [0.558, 0.761, 0.116], [0.185, 0.558, 0.007], [0.815, 0.442, 0.993], [0.949, 0.698, 0.795], [0.385, 0.521, 0.293], [0.250, 0.967, 0.033], [0.551, 0.205, 0.302], [0.750, 0.033, 0.967], [0.615, 0.479, 0.707], [0.315, 0.993, 0.442], [0.115, 0.707, 0.479], [0.058, 0.116, 0.761], [0.442, 0.239, 0.884], [0.885, 0.293, 0.521]]}

7.
{"formula": "SrAc2Mg9", "functional": "PBE", "state": "optimized geometry", "space_group": "R-3m", "energy_ev_per_atom": -2.096, "lattice_angstrom": [[-3.846, -3.330, 3.748], [1.450, -0.807, 6.097], [-5.898, 7.148, 5.623]], "species": ["Mg", "Mg", "Sr", "Mg", "Mg", "Mg", "Ac", "Ac", "Mg", "Mg", "Mg", "Mg"], "fractional_positions": [[0.334, 0.334, 0.998], [0.417, 0.919, 0.247], [0.000, 0.000, 0.000], [0.666, 0.666, 0.002], [0.081, 0.583, 0.753], [0.583, 0.081, 0.753], [0.144, 0.144, 0.567], [0.856, 0.856, 0.433], [0.417, 0.417, 0.247], [0.500, 0.500, 0.500], [0.919, 0.417, 0.247], [0.583, 0.583, 0.753]]}

8.
{"formula": "AlAgSn", "functional": "PBE", "state": "optimized geometry", "space_group": "P2/m", "energy_ev_per_atom": -3.467, "lattice_angstrom": [[-2.300, 1.988, -5.604], [-5.497, -1.518, 3.735], [-0.078, 2.819, 1.031]], "species": ["Sn", "Ag", "Ag", "Al", "Al", "Sn"], "fractional_positions": [[0.140, 0.736, 0.026], [0.873, 0.357, 0.526], [0.816, 0.920, 0.526], [0.152, 0.194, 0.026], [0.537, 0.084, 0.026], [0.549, 0.541, 0.027]]}

9.
{"formula": "La2TbIn3", "functional": "PBE", "state": "optimized geometry", "space_group": "P4/mmm", "polymorph_energy_mev_per_atom": 0, "energy_ev_per_atom": -4.290, "lattice_angstrom": [[-3.353, -1.026, -1.616], [-0.368, -2.853, 2.575], [-5.784, 7.359, 7.329]], "species": ["In", "Tb", "La", "La", "In", "In"], "fractional_positions": [[0.000, 0.000, 0.349], [0.500, 0.500, 0.500], [0.500, 0.500, 0.173], [0.500, 0.500, 0.827], [0.000, 0.000, 0.000], [0.000, 0.000, 0.651]]}

10.
{"formula": "Pr2Mg3Ga2", "functional": "PBE", "state": "optimized geometry", "space_group": "C2/m", "energy_ev_per_atom": -3.255, "lattice_angstrom": [[-3.194, 3.167, 0.265], [-1.285, -4.785, 3.392], [3.692, 3.296, 5.114]], "species": ["Pr", "Ga", "Mg", "Pr", "Mg", "Ga", "Mg"], "fractional_positions": [[0.370, 0.741, 0.661], [0.914, 0.828, 0.370], [0.328, 0.656, 0.150], [0.630, 0.259, 0.339], [0.000, 0.000, 0.000], [0.086, 0.172, 0.630], [0.672, 0.344, 0.850]]}

11.
{"formula": "SrCuPb2", "functional": "PBE", "state": "optimized geometry", "space_group": "F-43m", "energy_ev_per_atom": -3.314, "lattice_angstrom": [[5.462, 0.000, 0.000], [2.731, 4.730, 0.000], [2.731, 1.577, 4.459]], "species": ["Cu", "Pb", "Pb", "Sr"], "fractional_positions": [[0.500, 0.500, 0.500], [0.000, 0.000, 0.000], [0.250, 0.250, 0.250], [0.750, 0.750, 0.750]]}

12.
{"formula": "H4AuI2", "functional": "PBE", "state": "optimized geometry", "space_group": "Cm", "energy_ev_per_atom": -2.260, "lattice_angstrom": [[5.897, 0.954, -0.841], [-1.079, 5.875, -0.841], [0.425, 0.602, 3.708]], "species": ["H", "I", "Au", "I", "H", "H", "H"], "fractional_positions": [[0.787, 0.787, 0.071], [0.287, 0.786, 0.572], [0.787, 0.787, 0.571], [0.786, 0.287, 0.572], [0.287, 0.785, 0.071], [0.281, 0.281, 0.071], [0.785, 0.287, 0.071]]}